<i>
Here is an optimized crystal structure of TbDyPd from Alexandria. Energies are from PBE.

a b c (Å): 4.8957 4.8957 4.8957
angles (deg): 60.00 60.00 60.00
Sites, in units of the cell vectors:
Pd  0.2500  0.2500  0.2500
Dy  0.5000  0.5000  0.5000
Tb  0.0000  0.0000  0.0000

Output
ρ   8.56 g/cm3
Magnetization   0.000 μB/atom
Calculated volume   27.66 Å³/atom

***

<ii>
Here is an optimized crystal structure of TbDyPd from Alexandria. Energies are from PBE.

a b c (Å): 3.5264 7.1279 6.6434
angles (deg): 105.54 105.34 89.97
Sites, in units of the cell vectors:
Dy  0.3015  0.9831  0.3692
Dy  0.5764  0.1209  0.9197
Pd  0.9391  0.2980  0.6449
Pd  0.9387  0.8059  0.6439
Tb  0.5761  0.6205  0.9193
Tb  0.3017  0.4834  0.3696

Output
ρ   9.18 g/cm3
Magnetization   0.000 μB/atom
Calculated volume   25.78 Å³/atom

***

Which one is most stable, and which one is least stable? <ii> is the most stable of them, while <i> is the least stable.

***

<i>
Here is an optimized crystal structure of TbDy3Pd from Alexandria. Energies are from PBE.

a b c (Å): 3.7158 6.3709 12.5885
angles (deg): 86.35 81.51 73.04
Sites, in units of the cell vectors:
Dy  0.7852  0.0410  0.3887
Dy  0.9905  0.1048  0.9143
Dy  0.4556  0.9356  0.1532
Dy  0.7559  0.7331  0.7551
Dy  0.4267  0.6261  0.5205
Dy  0.1056  0.1653  0.6236
Tb  0.2214  0.5641  0.9931
Tb  0.1065  0.5014  0.2857
Pd  0.4421  0.3405  0.7753
Pd  0.7714  0.3250  0.1322

Output
ρ   8.87 g/cm3
Magnetization   0.000 μB/atom
Calculated volume   28.19 Å³/atom

***

<ii>
Here is an optimized crystal structure of TbDy3Pd from Alexandria. Energies are from PBE.

a b c (Å): 7.1807 7.1807 7.5161
angles (deg): 104.32 114.73 107.66
Sites, in units of the cell vectors:
Dy  0.7676  0.5915  0.7566
Dy  0.2735  0.5405  0.8140
Dy  0.7265  0.4595  0.1860
Dy  0.1651  0.9891  0.7566
Dy  0.2324  0.4085  0.2434
Dy  0.8349  0.0109  0.2434
Pd  0.3533  0.2325  0.5858
Pd  0.6467  0.7675  0.4142
Tb  0.2980  0.9273  0.2253
Tb  0.7020  0.0727  0.7747

Output
ρ   8.27 g/cm3
Magnetization   0.001 μB/atom
Calculated volume   30.25 Å³/atom

***

Which one is most stable, and which one is least stable? <i> is the most stable of them, while <ii> is the least stable.

***

<i>
Here is an optimized crystal structure of Dy8TcPd2 from Alexandria. Energies are from PBE.

a b c (Å): 5.0812 6.8257 8.9550
angles (deg): 106.37 106.48 90.00
Sites, in units of the cell vectors:
Dy  0.4086  0.5594  0.8172
Dy  0.5914  0.4406  0.1828
Dy  0.9697  0.2067  0.9393
Dy  0.0303  0.7933  0.0607
Dy  0.3348  0.0332  0.6697
Dy  0.8012  0.6898  0.6024
Dy  0.1988  0.3102  0.3976
Dy  0.6652  0.9668  0.3303
Tc  0.5000  0.0000  0.0000
Pd  0.1878  0.7081  0.3755
Pd  0.8122  0.2919  0.6245

Output
ρ   9.40 g/cm3
Magnetization   0.000 μB/atom
Calculated volume   25.88 Å³/atom

***

<ii>
Here is an optimized crystal structure of Dy8TcPd2 from Alexandria. Energies are from PBE.

a b c (Å): 5.7989 7.7698 7.7698
angles (deg): 116.04 100.60 100.60
Sites, in units of the cell vectors:
Dy  0.8170  0.6454  0.6454
Dy  0.9903  0.7876  0.2064
Dy  0.9903  0.2064  0.7876
Dy  0.3828  0.9156  0.6720
Dy  0.5823  0.3304  0.0889
Dy  0.1709  0.3646  0.3646
Dy  0.3828  0.6720  0.9156
Dy  0.5823  0.0889  0.3304
Pd  0.5002  0.7048  0.3114
Pd  0.5002  0.3114  0.7048
Tc  0.1007  0.0069  0.0069

Output
ρ   9.07 g/cm3
Magnetization   0.000 μB/atom
Calculated volume   26.81 Å³/atom

***

Which one is most stable, and which one is least stable? <i> is the most stable of them, while <ii> is the least stable.

***

<i>
Here is an optimized crystal structure of Dy3TePd from Alexandria. Energies are from PBE.

a b c (Å): 4.0818 11.0788 6.1945
angles (deg): 98.89 90.00 100.62
Sites, in units of the cell vectors:
Pd  0.7723  0.5445  0.8533
Pd  0.2277  0.4555  0.1467
Dy  0.6360  0.2721  0.0776
Dy  0.8013  0.6027  0.3721
Dy  0.0011  0.0023  0.7549
Dy  0.9989  0.9977  0.2451
Dy  0.3640  0.7279  0.9224
Dy  0.1987  0.3973  0.6279
Te  0.4130  0.8260  0.4528
Te  0.5870  0.1740  0.5472

Output
ρ   8.81 g/cm3
Magnetization   0.000 μB/atom
Calculated volume   27.19 Å³/atom

***

<ii>
Here is an optimized crystal structure of Dy3TePd from Alexandria. Energies are from PBE.

a b c (Å): 4.2141 9.0037 8.6256
angles (deg): 66.31 75.86 76.47
Sites, in units of the cell vectors:
Dy  0.9436  0.8901  0.2227
Dy  0.4005  0.4616  0.7375
Dy  0.0564  0.1099  0.7773
Dy  0.7524  0.8337  0.6615
Dy  0.5995  0.5384  0.2625
Dy  0.2476  0.1663  0.3385
Pd  0.3861  0.7775  0.4502
Pd  0.6139  0.2225  0.5498
Te  0.1633  0.7103  0.9631
Te  0.8367  0.2897  0.0369

Output
ρ   8.34 g/cm3
Magnetization   0.000 μB/atom
Calculated volume   28.72 Å³/atom

***

Which one is most stable, and which one is least stable? <i> is the most stable of them, while <ii> is the least stable.

***

<i>
Here is an optimized crystal structure of DyThPd from Alexandria. Energies are from PBE.

a b c (Å): 3.7889 4.8728 4.8728
angles (deg): 120.00 90.00 90.00
Sites, in units of the cell vectors:
Dy  0.6013  0.6667  0.3333
Pd  0.3504  0.3333  0.6667
Th  0.0483  0.0000  0.0000

Output
ρ   10.68 g/cm3
Magnetization   0.000 μB/atom
Calculated volume   25.97 Å³/atom

***

<ii>
Here is an optimized crystal structure of DyThPd from Alexandria. Energies are from PBE.

a b c (Å): 3.6503 3.6503 6.4183
angles (deg): 106.52 106.52 90.00
Sites, in units of the cell vectors:
Pd  0.6630  0.6630  0.3260
Dy  0.3147  0.3147  0.6295
Th  0.0223  0.0223  0.0445

Output
ρ   10.62 g/cm3
Magnetization   0.000 μB/atom
Calculated volume   26.10 Å³/atom

***

Which one is most stable, and which one is least stable? <ii> is the most stable of them, while <i> is the least stable.

***

<i>
Here is an optimized crystal structure of Dy2ThPd from Alexandria. Energies are from PBE.

a b c (Å): 6.5340 6.9775 9.8820
angles (deg): 90.00 90.00 90.00
Sites, in units of the cell vectors:
Dy  0.6634  0.8120  0.5596
Dy  0.8366  0.3120  0.5596
Dy  0.3366  0.1880  0.4404
Dy  0.8366  0.3120  0.9404
Dy  0.1634  0.6880  0.0596
Dy  0.6634  0.8120  0.9404
Dy  0.1634  0.6880  0.4404
Dy  0.3366  0.1880  0.0596
Pd  0.4273  0.8832  0.2500
Pd  0.9273  0.6168  0.7500
Pd  0.5727  0.1168  0.7500
Pd  0.0727  0.3832  0.2500
Th  0.3518  0.4757  0.7500
Th  0.8518  0.0243  0.2500
Th  0.1482  0.9757  0.7500
Th  0.6482  0.5243  0.2500

Output
ρ   9.78 g/cm3
Magnetization   0.000 μB/atom
Calculated volume   28.16 Å³/atom

***

<ii>
Here is an optimized crystal structure of Dy2ThPd from Alexandria. Energies are from PBE.

a b c (Å): 3.6334 3.6334 9.9886
angles (deg): 79.52 79.52 60.00
Sites, in units of the cell vectors:
Pd  0.0000  0.0000  0.0000
Dy  0.2662  0.2662  0.2015
Dy  0.7338  0.7338  0.7985
Th  0.5000  0.5000  0.5000

Output
ρ   9.87 g/cm3
Magnetization   0.000 μB/atom
Calculated volume   27.91 Å³/atom

***

Which one is most stable, and which one is least stable? <i> is the most stable of them, while <ii> is the least stable.